Entry 1:
The following is a PBE calculation of an optimized crystal structure of NaTl2NiCl6, from OQMD via LeMat-Bulk.

```
NaTl2NiCl6
1.0
7.098 0.000 0.000
0.000 7.226 0.000
-7.090 0.000 10.040
Cl Na Ni Tl
12 2 2 4
direct
0.723 0.781 0.025
0.788 0.321 0.032
0.664 0.507 0.221
0.336 0.007 0.279
0.212 0.821 0.468
0.277 0.281 0.475
0.723 0.719 0.525
0.788 0.179 0.532
0.664 0.993 0.721
0.336 0.493 0.779
0.212 0.679 0.968
0.277 0.219 0.975
0.000 0.000 0.000
0.000 0.500 0.500
0.500 0.500 0.000
0.500 0.000 0.500
0.757 0.053 0.242
0.243 0.553 0.258
0.757 0.447 0.742
0.243 0.947 0.758
```

Values from the calculation:
- final energy (eV per atom) = -3.20

Entry 2:
The following is a PBE calculation of an optimized crystal structure of Na2NpCl6, from OQMD via LeMat-Bulk.

```
Na2NpCl6
1.0
-3.316 1.587 -5.325
-1.667 -6.199 -0.810
-10.115 1.826 6.843
Cl Na Np
12 4 2
direct
0.286 0.286 0.000
0.714 0.714 0.000
0.806 0.194 0.156
0.194 0.806 0.156
0.306 0.306 0.344
0.694 0.694 0.344
0.786 0.214 0.500
0.214 0.786 0.500
0.306 0.306 0.656
0.694 0.694 0.656
0.806 0.194 0.844
0.194 0.806 0.844
0.500 0.500 0.165
0.000 0.000 0.335
0.000 0.000 0.665
0.500 0.500 0.835
0.000 0.000 0.000
0.500 0.500 0.500
```

Values from the calculation:
- final energy (eV per atom) = -4.68

Entry 3:
The following is a PBE calculation of an optimized crystal structure of Na9ZrP4ClO16, from OQMD via LeMat-Bulk.

```
Na9ZrP4ClO16
1.0
-7.684 4.130 -2.489
4.383 -3.309 -7.153
-2.537 -4.634 0.674
Cl Na O P Zr
1 9 16 4 1
direct
0.506 0.498 0.995
0.178 0.433 0.035
0.591 0.820 0.080
0.598 0.356 0.462
0.230 0.909 0.479
0.008 0.485 0.498
0.414 0.638 0.553
0.629 0.019 0.580
0.840 0.555 0.947
0.423 0.172 0.953
0.204 0.932 0.021
0.906 0.347 0.137
0.874 0.792 0.186
0.626 0.150 0.225
0.312 0.742 0.227
0.078 0.126 0.317
0.226 0.407 0.463
0.668 0.789 0.495
0.805 0.583 0.512
0.349 0.189 0.513
0.954 0.865 0.646
0.131 0.198 0.785
0.695 0.259 0.792
0.405 0.857 0.797
0.129 0.648 0.839
0.801 0.057 0.962
0.759 0.210 0.035
0.820 0.754 0.464
0.202 0.235 0.515
0.262 0.788 0.970
0.001 0.997 0.986
```

Values from the calculation:
- final energy (eV per atom) = -6.29